{"formula": "NiHgHRh2", "functional": "PBE", "state": "relaxed", "final_energy_ev_per_atom": -4.715, "density_g_cm3": 12.4, "n_ef_per_ev_fu": 5.94, "magnetic_moment_mub_per_fu": 0.96, "cell": [[3.995, 0.000, 0.000], [0.000, 3.995, 0.000], [0.000, 0.000, 3.920]], "species": ["Rh", "H", "Hg", "Ni", "Rh"], "fractional_positions": [[0.500, 0.000, 0.000], [0.000, 0.000, 0.000], [0.500, 0.500, 0.500], [0.000, 0.000, 0.500], [0.000, 0.500, 0.000]]}